Gd2DyTm3OsS2: optimized geometry, PBE.

The structure in extended XYZ format:
```
9
Lattice="3.9607 0.0000 0.0000 0.0000 6.7840 3.8761 0.0000 -6.7840 3.8761" Properties=species:S:1:pos:R:3 pbc="T T T"
Gd 0.0000 -4.0081 3.8761
Gd 0.0000 4.0081 3.8761
Dy 0.0000 0.0000 3.0253
Tm 1.9803 0.0000 0.3296
Tm 1.9803 -1.6977 5.2010
Tm 1.9803 1.6977 5.2010
Os 0.0000 0.0000 6.1171
S 1.9803 -2.2686 2.2878
S 1.9803 2.2686 2.2878
```

## Properties
Raw total energy in eV/atom: -6.025